LaTb2PmTh after structural relaxation. Source: the Alexandria database, functional GGA-PBE.

Unit cell a=6.287 b=5.882 c=9.686 alpha=90.00 beta=108.90 gamma=90.00
Element x y z (fractional)
1 La 0.070 0.250 0.292
2 La 0.930 0.750 0.708
3 Tb 0.329 0.750 0.492
4 Tb 0.452 0.250 0.096
5 Tb 0.548 0.750 0.904
6 Tb 0.671 0.250 0.508
7 Pm 0.276 0.250 0.704
8 Pm 0.724 0.750 0.296
9 Th 0.129 0.750 0.089
10 Th 0.871 0.250 0.911

Values from the calculation:
As for the energy of formation: 47 meV per atom. Its space-group type is No. 11. The density of states at the Fermi level is 1.63 states/eV/atom.